i:
Compound: Y2ErRu
Source: Alexandria
Functional: PBE
Structure: optimized geometry

Output
D(E_F)	11.75	states/eV/cell

extended XYZ file:
```
16
Lattice="6.336 0.000 0.000 0.000 7.296 0.000 0.000 0.000 9.188" Properties=species:S:1:pos:R:3 pbc="T T T"
Ru 3.363 0.843 6.891
Ru 6.141 4.491 6.891
Ru 2.973 6.453 2.297
Ru 0.195 2.805 2.297
Y 4.249 6.009 5.181
Y 5.255 2.360 5.181
Y 2.087 1.288 0.587
Y 5.255 2.360 8.600
Y 1.081 4.936 4.006
Y 2.087 1.288 4.006
Y 1.081 4.936 0.587
Y 4.249 6.009 8.600
Er 5.486 0.312 2.297
Er 4.018 3.960 2.297
Er 2.318 3.337 6.891
Er 0.850 6.985 6.891
```


ii:
Compound: Y2ErRu
Source: Alexandria
Functional: PBE
Structure: optimized geometry

Output
D(E_F)	4.12	states/eV/cell

extended XYZ file:
```
4
Lattice="-3.098 -0.336 -1.463 0.063 -3.381 0.645 -3.860 1.425 7.846" Properties=species:S:1:pos:R:3 pbc="T T T"
Er -3.447 -1.146 3.514
Y -0.721 0.266 1.466
Y -3.138 1.159 6.380
Ru -1.518 -1.859 -0.409
```


Which of them is the most stable, and which is the least stable? i and ii, in that order.